# 1
Density functional theory data (SCAN) for NiBiRh3 at its PBEsol-relaxed geometry.

Values from the calculation:
- M_tot (μB/f.u.) = 3.88
- Fermi-level density of states (states/eV per atom) = 1.25
- formation enthalpy at 0 K (eV/atom) = 0.85
- theoretical density (g/cm³) = 10.868
- symmetry = Pm-3m, No. 221

Lattice parameters (Å, degrees): 4.449 4.449 4.449 90.00 90.00 90.00
Sites, in units of the cell vectors:
Ni: 0.000 0.000 0.000
Bi: 0.500 0.500 0.500
Rh: 0.000 0.000 0.500
Rh: 0.000 0.500 0.000
Rh: 0.500 0.000 0.000

***

# 2
Density functional theory data (SCAN) for ZrScW at its PBEsol-relaxed geometry.

Values from the calculation:
- M_tot (μB/f.u.) = 0.00
- Fermi-level density of states (states/eV per atom) = 1.16
- formation enthalpy at 0 K (eV/atom) = 1.22
- theoretical density (g/cm³) = 8.135
- symmetry = F-43m, No. 216

Lattice parameters (Å, degrees): 4.521 4.521 4.521 60.00 60.00 60.00
Sites, in units of the cell vectors:
Zr: 0.000 0.000 0.000
Sc: 0.750 0.750 0.750
W: 0.250 0.250 0.250

***

# 3
Density functional theory data (SCAN) for OsRu at its PBEsol-relaxed geometry.

Values from the calculation:
- M_tot (μB/f.u.) = 0.00
- Fermi-level density of states (states/eV per atom) = 0.72
- formation enthalpy at 0 K (eV/atom) = 0.12
- theoretical density (g/cm³) = 17.715
- symmetry = I4_1/amd, No. 141

Lattice parameters (Å, degrees): 4.638 4.638 4.638 131.62 131.62 70.82
Sites, in units of the cell vectors:
Os: 0.375 0.625 0.750
Os: 0.625 0.375 0.250
Ru: 0.125 0.875 0.250
Ru: 0.875 0.125 0.750

***

# 4
Density functional theory data (SCAN) for Tm2Sn2O7 at its PBEsol-relaxed geometry.

Values from the calculation:
- M_tot (μB/f.u.) = 0.00
- Fermi-level density of states (states/eV per atom) = 0.00
- theoretical density (g/cm³) = 8.370
- symmetry = Fd-3m, No. 227
- formation energy without anion corrections (meV/atom) = -2841

Lattice parameters (Å, degrees): 7.279 7.279 7.279 60.00 60.00 60.00
Sites, in units of the cell vectors:
Tm: 0.000 0.000 0.000
Tm: 0.000 0.000 0.500
Tm: 0.000 0.500 0.000
Tm: 0.500 0.000 0.000
Sn: 0.000 0.500 0.500
Sn: 0.500 0.000 0.500
Sn: 0.500 0.500 0.000
Sn: 0.500 0.500 0.500
O: 0.125 0.125 0.125
O: 0.158 0.158 0.592
O: 0.158 0.592 0.158
O: 0.158 0.592 0.592
O: 0.408 0.408 0.842
O: 0.408 0.842 0.408
O: 0.408 0.842 0.842
O: 0.592 0.158 0.158
O: 0.592 0.158 0.592
O: 0.592 0.592 0.158
O: 0.842 0.408 0.408
O: 0.842 0.408 0.842
O: 0.842 0.842 0.408
O: 0.875 0.875 0.875

***

# 5
Density functional theory data (SCAN) for CaTa2 at its PBEsol-relaxed geometry.

Values from the calculation:
- M_tot (μB/f.u.) = 0.00
- Fermi-level density of states (states/eV per atom) = 0.89
- formation enthalpy at 0 K (eV/atom) = 0.44
- theoretical density (g/cm³) = 9.756
- symmetry = C2/m, No. 12

Lattice parameters (Å, degrees): 5.648 5.648 7.986 108.09 108.09 34.62
Sites, in units of the cell vectors:
Ca: 0.157 0.157 0.115
Ca: 0.843 0.843 0.885
Ta: 0.155 0.155 0.542
Ta: 0.480 0.480 0.310
Ta: 0.520 0.520 0.690
Ta: 0.845 0.845 0.458

***

# 6
Density functional theory data (SCAN) for KCr2Ir at its PBEsol-relaxed geometry.

Values from the calculation:
- M_tot (μB/f.u.) = 8.09
- Fermi-level density of states (states/eV per atom) = 1.04
- formation enthalpy at 0 K (eV/atom) = 0.91
- theoretical density (g/cm³) = 8.001
- symmetry = Fm-3m, No. 225

Lattice parameters (Å, degrees): 4.617 4.617 4.617 60.00 60.00 60.00
Sites, in units of the cell vectors:
K: 0.000 0.000 0.000
Cr: 0.250 0.250 0.250
Cr: 0.750 0.750 0.750
Ir: 0.500 0.500 0.500

***

# 7
Density functional theory data (SCAN) for B9H8S at its PBEsol-relaxed geometry.

Values from the calculation:
- uncorrected energy (Ry per atom) = -0.43384
- M_tot (μB/f.u.) = 0.00
- Fermi-level density of states (states/eV per atom) = 0.00
- theoretical density (g/cm³) = 1.213
- symmetry = P2_1/c, No. 14

Lattice parameters (Å, degrees): 6.507 9.752 12.907 90.00 113.20 90.00
Sites, in units of the cell vectors:
B: 0.046 0.247 0.459
B: 0.046 0.253 0.959
B: 0.065 0.574 0.527
B: 0.065 0.926 0.027
B: 0.079 0.642 0.657
B: 0.079 0.858 0.157
B: 0.177 0.681 0.160
B: 0.177 0.819 0.660
B: 0.211 0.664 0.031
B: 0.211 0.836 0.531
B: 0.323 0.659 0.517
B: 0.323 0.841 0.017
B: 0.330 0.578 0.641
B: 0.330 0.922 0.141
B: 0.342 0.692 0.743
B: 0.342 0.808 0.243
B: 0.429 0.745 0.144
B: 0.429 0.755 0.644
B: 0.571 0.245 0.356
B: 0.571 0.255 0.856
B: 0.658 0.192 0.757
B: 0.658 0.308 0.257
B: 0.670 0.078 0.859
B: 0.670 0.422 0.359
B: 0.677 0.159 0.983
B: 0.677 0.341 0.483
B: 0.789 0.164 0.469
B: 0.789 0.336 0.969
B: 0.823 0.181 0.340
B: 0.823 0.319 0.840
B: 0.921 0.142 0.843
B: 0.921 0.358 0.343
B: 0.935 0.074 0.973
B: 0.935 0.426 0.473
B: 0.954 0.747 0.041
B: 0.954 0.753 0.541
H: 0.041 0.090 0.803
H: 0.041 0.410 0.303
H: 0.144 0.579 0.203
H: 0.144 0.921 0.703
H: 0.230 0.556 0.991
H: 0.230 0.944 0.491
H: 0.234 0.207 0.490
H: 0.234 0.293 0.990
H: 0.386 0.198 0.329
H: 0.386 0.302 0.829
H: 0.429 0.029 0.168
H: 0.429 0.471 0.668
H: 0.433 0.623 0.467
H: 0.433 0.877 0.967
H: 0.438 0.685 0.843
H: 0.438 0.815 0.343
H: 0.562 0.185 0.657
H: 0.562 0.315 0.157
H: 0.567 0.123 0.033
H: 0.567 0.377 0.533
H: 0.571 0.529 0.332
H: 0.571 0.971 0.832
H: 0.614 0.698 0.171
H: 0.614 0.802 0.671
H: 0.766 0.707 0.010
H: 0.766 0.793 0.510
H: 0.770 0.056 0.509
H: 0.770 0.444 0.009
H: 0.856 0.079 0.297
H: 0.856 0.421 0.797
H: 0.959 0.590 0.697
H: 0.959 0.910 0.197
S: 0.030 0.712 0.415
S: 0.030 0.788 0.915
S: 0.970 0.212 0.085
S: 0.970 0.288 0.585

***

# 8
Density functional theory data (SCAN) for CaSc2Ta at its PBEsol-relaxed geometry.

Values from the calculation:
- M_tot (μB/f.u.) = 0.00
- Fermi-level density of states (states/eV per atom) = 1.34
- formation enthalpy at 0 K (eV/atom) = 0.56
- theoretical density (g/cm³) = 5.680
- symmetry = P4/mmm, No. 123

Lattice parameters (Å, degrees): 4.624 4.624 4.251 90.00 90.00 90.00
Sites, in units of the cell vectors:
Ca: 0.000 0.000 0.000
Sc: 0.000 0.500 0.500
Sc: 0.500 0.000 0.500
Ta: 0.500 0.500 0.000

***

# 9
Density functional theory data (SCAN) for Li4CuF7 at its PBEsol-relaxed geometry.

Values from the calculation:
- M_tot (μB/f.u.) = 1.91
- Fermi-level density of states (states/eV per atom) = 0.00
- theoretical density (g/cm³) = 2.675
- symmetry = F-43m, No. 216
- formation energy without anion corrections (meV/atom) = -2633

Lattice parameters (Å, degrees): 5.818 5.818 5.818 60.00 60.00 60.00
Sites, in units of the cell vectors:
Li: 0.123 0.123 0.123
Li: 0.123 0.123 0.631
Li: 0.123 0.631 0.123
Li: 0.631 0.123 0.123
Cu: 0.750 0.750 0.750
F: 0.000 0.000 0.000
F: 0.516 0.516 0.984
F: 0.516 0.984 0.516
F: 0.516 0.984 0.984
F: 0.984 0.516 0.516
F: 0.984 0.516 0.984
F: 0.984 0.984 0.516

***

# 10
Density functional theory data (SCAN) for SrZrSb at its PBEsol-relaxed geometry.

Values from the calculation:
- M_tot (μB/f.u.) = 1.84
- Fermi-level density of states (states/eV per atom) = 0.71
- theoretical density (g/cm³) = 5.688
- symmetry = I4mm, No. 107
- formation energy without anion corrections (meV/atom) = -399

Lattice parameters (Å, degrees): 6.512 6.512 6.512 145.60 145.60 49.44
Sites, in units of the cell vectors:
Sr: 0.000 0.000 0.000
Zr: 0.289 0.289 0.000
Sb: 0.699 0.699 0.000

***

# 11
Density functional theory data (SCAN) for H2IF at its PBEsol-relaxed geometry.

Values from the calculation:
- uncorrected energy (Ry per atom) = -0.82589
- M_tot (μB/f.u.) = 0.12
- Fermi-level density of states (states/eV per atom) = 0.31
- theoretical density (g/cm³) = 6.157
- symmetry = Fm-3m, No. 225

Lattice parameters (Å, degrees): 3.835 3.835 3.835 60.00 60.00 60.00
Sites, in units of the cell vectors:
H: 0.250 0.250 0.250
H: 0.750 0.750 0.750
I: 0.000 0.000 0.000
F: 0.500 0.500 0.500

***

# 12
Density functional theory data (SCAN) for Na3LiMo2H12O14 at its PBEsol-relaxed geometry.

Values from the calculation:
- uncorrected energy (Ry per atom) = -0.60704
- M_tot (μB/f.u.) = 0.01
- Fermi-level density of states (states/eV per atom) = 0.00
- theoretical density (g/cm³) = 2.530
- symmetry = R3c, No. 161

Lattice parameters (Å, degrees): 11.360 11.360 11.360 44.77 44.77 44.77
Sites, in units of the cell vectors:
Na: 0.036 0.223 0.740
Na: 0.223 0.740 0.036
Na: 0.240 0.723 0.536
Na: 0.536 0.240 0.723
Na: 0.723 0.536 0.240
Na: 0.740 0.036 0.223
Li: 0.265 0.265 0.265
Li: 0.765 0.765 0.765
Mo: 0.146 0.146 0.146
Mo: 0.398 0.398 0.398
Mo: 0.646 0.646 0.646
Mo: 0.898 0.898 0.898
H: 0.003 0.505 0.361
H: 0.005 0.503 0.861
H: 0.032 0.872 0.309
H: 0.035 0.688 0.390
H: 0.038 0.565 0.165
H: 0.065 0.538 0.665
H: 0.165 0.038 0.565
H: 0.188 0.535 0.890
H: 0.309 0.032 0.872
H: 0.361 0.003 0.505
H: 0.372 0.532 0.809
H: 0.390 0.035 0.688
H: 0.503 0.861 0.005
H: 0.505 0.361 0.003
H: 0.532 0.809 0.372
H: 0.535 0.890 0.188
H: 0.538 0.665 0.065
H: 0.565 0.165 0.038
H: 0.665 0.065 0.538
H: 0.688 0.390 0.035
H: 0.809 0.372 0.532
H: 0.861 0.005 0.503
H: 0.872 0.309 0.032
H: 0.890 0.188 0.535
O: 0.006 0.816 0.295
O: 0.017 0.599 0.734
O: 0.025 0.957 0.659
O: 0.081 0.959 0.337
O: 0.099 0.517 0.234
O: 0.159 0.457 0.525
O: 0.202 0.202 0.202
O: 0.234 0.099 0.517
O: 0.295 0.006 0.816
O: 0.316 0.506 0.795
O: 0.337 0.081 0.959
O: 0.456 0.456 0.456
O: 0.457 0.525 0.159
O: 0.459 0.581 0.837
O: 0.506 0.795 0.316
O: 0.517 0.234 0.099
O: 0.525 0.159 0.457
O: 0.581 0.837 0.459
O: 0.599 0.734 0.017
O: 0.659 0.025 0.957
O: 0.702 0.702 0.702
O: 0.734 0.017 0.599
O: 0.795 0.316 0.506
O: 0.816 0.295 0.006
O: 0.837 0.459 0.581
O: 0.956 0.956 0.956
O: 0.957 0.659 0.025
O: 0.959 0.337 0.081

***

# 13
Density functional theory data (SCAN) for LiAg2Pb at its PBEsol-relaxed geometry.

Values from the calculation:
- M_tot (μB/f.u.) = 0.00
- Fermi-level density of states (states/eV per atom) = 0.22
- formation enthalpy at 0 K (eV/atom) = -0.13
- theoretical density (g/cm³) = 9.595
- symmetry = F-43m, No. 216

Lattice parameters (Å, degrees): 4.721 4.721 4.721 60.00 60.00 60.00
Sites, in units of the cell vectors:
Li: 0.000 0.000 0.000
Ag: 0.500 0.500 0.500
Ag: 0.750 0.750 0.750
Pb: 0.250 0.250 0.250

***

# 14
Density functional theory data (SCAN) for BaInIr at its PBEsol-relaxed geometry.

Values from the calculation:
- M_tot (μB/f.u.) = 0.00
- Fermi-level density of states (states/eV per atom) = 0.44
- formation enthalpy at 0 K (eV/atom) = -0.12
- theoretical density (g/cm³) = 9.964
- symmetry = Imm2, No. 44

Lattice parameters (Å, degrees): 6.610 6.610 6.610 151.14 147.80 43.78
Sites, in units of the cell vectors:
Ba: 0.000 0.000 0.000
In: 0.723 0.723 0.000
Ir: 0.321 0.321 0.000

***

# 15
Density functional theory data (SCAN) for ScTl3 at its PBEsol-relaxed geometry.

Values from the calculation:
- M_tot (μB/f.u.) = 0.00
- Fermi-level density of states (states/eV per atom) = 0.56
- formation enthalpy at 0 K (eV/atom) = -0.15
- theoretical density (g/cm³) = 11.335
- symmetry = I4/mmm, No. 139

Lattice parameters (Å, degrees): 5.849 5.849 5.849 135.66 135.66 64.51
Sites, in units of the cell vectors:
Sc: 0.000 0.000 0.000
Tl: 0.250 0.750 0.500
Tl: 0.500 0.500 0.000
Tl: 0.750 0.250 0.500

***

# 16
Density functional theory data (SCAN) for GaFeSb2Pb at its PBEsol-relaxed geometry.

Values from the calculation:
- M_tot (μB/f.u.) = 0.00
- Fermi-level density of states (states/eV per atom) = 0.74
- theoretical density (g/cm³) = 8.438
- symmetry = P4/mmm, No. 123
- formation energy without anion corrections (meV/atom) = 291

Lattice parameters (Å, degrees): 4.990 4.990 4.555 90.00 90.00 90.00
Sites, in units of the cell vectors:
Ga: 0.000 0.000 0.000
Fe: 0.000 0.000 0.500
Sb: 0.000 0.500 0.500
Sb: 0.500 0.000 0.500
Pb: 0.500 0.500 0.000

***

# 17
Density functional theory data (SCAN) for NaMg3Os at its PBEsol-relaxed geometry.

Values from the calculation:
- M_tot (μB/f.u.) = 1.47
- Fermi-level density of states (states/eV per atom) = 0.55
- formation enthalpy at 0 K (eV/atom) = 1.56
- theoretical density (g/cm³) = 4.656
- symmetry = Pm-3m, No. 221

Lattice parameters (Å, degrees): 4.673 4.673 4.673 90.00 90.00 90.00
Sites, in units of the cell vectors:
Na: 0.000 0.000 0.000
Mg: 0.000 0.000 0.500
Mg: 0.000 0.500 0.000
Mg: 0.500 0.000 0.000
Os: 0.500 0.500 0.500

***

# 18
Density functional theory data (SCAN) for AlTe2Pt at its PBEsol-relaxed geometry.

Values from the calculation:
- M_tot (μB/f.u.) = 0.00
- Fermi-level density of states (states/eV per atom) = 0.44
- theoretical density (g/cm³) = 8.755
- symmetry = R3m, No. 160
- formation energy without anion corrections (meV/atom) = -402

Lattice parameters (Å, degrees): 6.730 6.730 6.730 35.21 35.21 35.21
Sites, in units of the cell vectors:
Al: 0.000 0.000 0.000
Te: 0.543 0.543 0.543
Te: 0.751 0.751 0.751
Pt: 0.276 0.276 0.276

***

# 19
Density functional theory data (SCAN) for MgCd2Pt at its PBEsol-relaxed geometry.

Values from the calculation:
- M_tot (μB/f.u.) = 0.00
- Fermi-level density of states (states/eV per atom) = 0.28
- formation enthalpy at 0 K (eV/atom) = -0.46
- theoretical density (g/cm³) = 10.494
- symmetry = I4/mmm, No. 139

Lattice parameters (Å, degrees): 5.138 5.138 5.138 133.42 133.42 67.99
Sites, in units of the cell vectors:
Mg: 0.000 0.000 0.000
Cd: 0.250 0.750 0.500
Cd: 0.750 0.250 0.500
Pt: 0.500 0.500 0.000

***

# 20
Density functional theory data (SCAN) for Li3CoW at its PBEsol-relaxed geometry.

Values from the calculation:
- M_tot (μB/f.u.) = 6.07
- Fermi-level density of states (states/eV per atom) = 0.44
- formation enthalpy at 0 K (eV/atom) = 1.91
- theoretical density (g/cm³) = 4.115
- symmetry = Pm-3m, No. 221

Lattice parameters (Å, degrees): 4.738 4.738 4.738 90.00 90.00 90.00
Sites, in units of the cell vectors:
Li: 0.000 0.000 0.500
Li: 0.000 0.500 0.000
Li: 0.500 0.000 0.000
Co: 0.500 0.500 0.500
W: 0.000 0.000 0.000